Record 1
VASP calculation (PBE-GGA) on Zr2Fe3Mo4N3 after structural relaxation.

Output
E_tot = -9.585 eV per atom
SG = C2/c, No. 15
Magnetic moment = 0.4392 μB per atom

Lattice parameters (Å, degrees): 5.241 5.241 13.421 101.26 101.26 60.25
Positions (direct):
Zr: 0.040 0.874 0.621
Zr: 0.126 0.960 0.879
Zr: 0.874 0.040 0.121
Zr: 0.960 0.126 0.379
Fe: 0.085 0.416 0.750
Fe: 0.413 0.587 0.250
Fe: 0.416 0.085 0.250
Fe: 0.584 0.915 0.750
Fe: 0.587 0.413 0.750
Fe: 0.915 0.584 0.250
Mo: 0.196 0.371 0.086
Mo: 0.313 0.463 0.414
Mo: 0.371 0.196 0.586
Mo: 0.463 0.313 0.914
Mo: 0.537 0.687 0.086
Mo: 0.629 0.804 0.414
Mo: 0.687 0.537 0.586
Mo: 0.804 0.629 0.914
N: 0.000 0.500 0.500
N: 0.150 0.699 0.000
N: 0.301 0.850 0.500
N: 0.500 0.000 0.000
N: 0.699 0.150 0.500
N: 0.850 0.301 0.000

=====

Record 2
VASP calculation (PBE-GGA) on CsCuPS4 after structural relaxation.

Output
E_tot = -4.343 eV per atom
SG = I4/mcm, No. 140

Lattice parameters (Å, degrees): 8.540 8.540 8.540 120.14 120.14 89.76
Positions (direct):
Cs: 0.250 0.250 0.000
Cs: 0.750 0.750 0.000
Cu: 0.000 0.500 0.500
Cu: 0.500 0.000 0.500
P: 0.250 0.750 0.500
P: 0.750 0.250 0.500
S: 0.010 0.510 0.239
S: 0.229 0.990 0.500
S: 0.271 0.771 0.761
S: 0.490 0.729 0.500
S: 0.510 0.271 0.500
S: 0.729 0.229 0.239
S: 0.771 0.010 0.500
S: 0.990 0.490 0.761

=====

Record 3
VASP calculation (PBE-GGA) on KRbCu2As2 after structural relaxation.

Output
E_tot = -3.342 eV per atom
SG = P4mm, No. 99

Lattice parameters (Å, degrees): 4.305 4.305 8.104 90.00 90.00 90.00
Positions (direct):
K: 0.000 0.000 0.000
Rb: 0.500 0.500 0.665
Cu: 0.000 0.500 0.318
Cu: 0.500 0.000 0.318
As: 0.000 0.000 0.472
As: 0.500 0.500 0.160

=====

Record 4
VASP calculation (PBE-GGA) on Lu2FePd after structural relaxation.

Output
Formation energy from the elements = -0.1 eV per formula unit
SG = F-43m, No. 216
Magnetic moment = 0.6046 μB per atom

Lattice parameters (Å, degrees): 6.619 6.619 6.619 90.00 90.00 90.00
Positions (direct):
Lu: 0.000 0.000 0.000
Lu: 0.000 0.500 0.500
Lu: 0.250 0.250 0.250
Lu: 0.250 0.750 0.750
Lu: 0.500 0.000 0.500
Lu: 0.500 0.500 0.000
Lu: 0.750 0.250 0.750
Lu: 0.750 0.750 0.250
Fe: 0.250 0.250 0.750
Fe: 0.250 0.750 0.250
Fe: 0.750 0.250 0.250
Fe: 0.750 0.750 0.750
Pd: 0.000 0.000 0.500
Pd: 0.000 0.500 0.000
Pd: 0.500 0.000 0.000
Pd: 0.500 0.500 0.500

=====

Record 5
VASP calculation (PBE-GGA) on LiReAuO3 after structural relaxation.

Output
E_tot = -5.812 eV per atom
SG = Pnma, No. 62
Magnetic moment = 0.0013 μB per atom

Lattice parameters (Å, degrees): 11.672 3.226 7.561 90.00 90.00 90.00
Positions (direct):
Li: 0.223 0.250 0.056
Li: 0.277 0.750 0.556
Li: 0.723 0.250 0.444
Li: 0.777 0.750 0.944
Re: 0.052 0.750 0.403
Re: 0.448 0.250 0.903
Re: 0.552 0.750 0.097
Re: 0.948 0.250 0.597
Au: 0.021 0.750 0.860
Au: 0.479 0.250 0.360
Au: 0.521 0.750 0.640
Au: 0.979 0.250 0.140
O: 0.119 0.250 0.544
O: 0.212 0.750 0.300
O: 0.232 0.750 0.805
O: 0.268 0.250 0.305
O: 0.288 0.250 0.800
O: 0.381 0.750 0.044
O: 0.619 0.250 0.956
O: 0.712 0.750 0.200
O: 0.732 0.750 0.695
O: 0.768 0.250 0.195
O: 0.788 0.250 0.700
O: 0.881 0.750 0.456

=====

Record 6
VASP calculation (PBE-GGA) on Tc4Bi2Pb after structural relaxation.

Output
E_tot = -6.997 eV per atom
SG = C2/m, No. 12
Magnetic moment = 0.0031 μB per atom

Lattice parameters (Å, degrees): 9.305 7.652 4.913 90.00 120.03 90.00
Positions (direct):
Tc: 0.138 0.180 0.144
Tc: 0.138 0.820 0.144
Tc: 0.362 0.320 0.856
Tc: 0.362 0.680 0.856
Tc: 0.638 0.320 0.144
Tc: 0.638 0.680 0.144
Tc: 0.862 0.180 0.856
Tc: 0.862 0.820 0.856
Bi: 0.201 0.000 0.704
Bi: 0.299 0.500 0.296
Bi: 0.701 0.500 0.704
Bi: 0.799 0.000 0.296
Pb: 0.000 0.500 0.500
Pb: 0.500 0.000 0.500

=====

Record 7
VASP calculation (PBE-GGA) on NdDy3Y2FeTe2 after structural relaxation.

Output
E_tot = -5.757 eV per atom
SG = Amm2, No. 38
Magnetic moment = 0.0498 μB per atom

Lattice parameters (Å, degrees): 4.019 8.369 8.369 120.07 90.00 90.00
Positions (direct):
Nd: 0.000 0.000 0.000
Dy: 0.500 0.173 0.405
Dy: 0.500 0.405 0.173
Dy: 0.500 0.643 0.643
Y: 0.000 0.407 0.804
Y: 0.000 0.804 0.407
Fe: 0.000 0.416 0.416
Te: 0.500 0.075 0.734
Te: 0.500 0.734 0.075

=====

Record 8
VASP calculation (PBE-GGA) on ErGeB4 after structural relaxation.

Output
E above lowest polymorph = 65 kJ/mol of formula units
SG = P6/mmm, No. 191
Magnetic moment = 0.0004 μB per atom

Lattice parameters (Å, degrees): 3.169 3.169 7.691 90.00 90.00 120.00
Positions (direct):
Er: 0.000 0.000 0.000
Ge: 0.000 0.000 0.500
B: 0.333 0.667 0.249
B: 0.333 0.667 0.751
B: 0.667 0.333 0.249
B: 0.667 0.333 0.751

=====

- What is the formula in the first record?
  Zr2Fe3Mo4N3